1.
Entry from Alexandria via LeMat-Bulk: crystalline CeMgSe at its relaxed geometry (PBE).

Computed properties:
**Total moment**: 0.3812 μB/atom
**D(E_F)**: 2.46 states/eV/atom
**Raw formation energy**: -0.92 eV per atom

abc: 5.0368 5.0368 8.4328
angles: 72.62 72.62 60.00
Closest atoms and distances in Å follow each position.
Fractional coordinates of all 6 atoms:
1 Mg 0.1686 0.1686 0.4943  1 Se 2.72, 3 Mg 2.91
2 Mg 0.8314 0.8314 0.5057  1 Se 2.72, 3 Mg 2.91
3 Se 0.2833 0.2833 0.1501  1 Mg 2.72, 4 Ce 2.98-3.01
4 Se 0.7167 0.7167 0.8499  1 Mg 2.72, 4 Ce 2.98-3.01
5 Ce 0.4101 0.4101 0.7696  4 Se 2.98-3.01
6 Ce 0.5899 0.5899 0.2304  4 Se 2.98-3.01

=====

2.
Entry from Alexandria via LeMat-Bulk: crystalline Ce6MgSe8 at its relaxed geometry (PBE).

Computed properties:
**Total moment**: 0.4389 μB/atom
**D(E_F)**: 2.68 states/eV/atom
**Raw formation energy**: -1.72 eV per atom

abc: 8.3691 8.3691 8.3691
angles: 60.00 60.00 60.00
Closest atoms and distances in Å follow each position.
Fractional coordinates of all 15 atoms:
1 Se 0.2500 0.2500 0.2500  6 Ce 2.96
2 Se 0.2395 0.7605 0.2395  1 Mg 2.83, 4 Ce 2.96
3 Se 0.7605 0.7605 0.2395  1 Mg 2.83, 4 Ce 2.96
4 Se 0.2395 0.2395 0.7605  1 Mg 2.83, 4 Ce 2.96
5 Se 0.7500 0.7500 0.7500  6 Ce 2.96
6 Se 0.2395 0.7605 0.7605  1 Mg 2.83, 4 Ce 2.96
7 Se 0.7605 0.2395 0.2395  1 Mg 2.83, 4 Ce 2.96
8 Se 0.7605 0.2395 0.7605  1 Mg 2.83, 4 Ce 2.96
9 Ce 0.0000 0.5000 0.0000  6 Se 2.96
10 Ce 0.5000 0.0000 0.5000  6 Se 2.96
11 Ce 0.0000 0.0000 0.5000  6 Se 2.96
12 Ce 0.5000 0.5000 0.0000  6 Se 2.96
13 Ce 0.5000 0.0000 0.0000  6 Se 2.96
14 Ce 0.0000 0.5000 0.5000  6 Se 2.96
15 Mg 0.0000 0.0000 0.0000  6 Se 2.83

=====

3.
Entry from Alexandria via LeMat-Bulk: crystalline Ce3Sm3MgSe8 at its relaxed geometry (PBE).

Computed properties:
**Total moment**: 0.2174 μB/atom
**D(E_F)**: 1.40 states/eV/atom
**Raw formation energy**: -1.76 eV per atom

abc: 8.3132 8.3135 8.3654
angles: 119.79 90.01 119.98
Closest atoms and distances in Å follow each position.
Fractional coordinates of all 15 atoms:
1 Se 0.7601 0.0021 0.2622  1 Mg 2.83, 2 Sm 2.94, 2 Ce 2.96
2 Se 0.2399 0.4798 0.7378  1 Mg 2.83, 2 Sm 2.94, 2 Ce 2.96
3 Se 0.7489 0.4978 0.7467  3 Sm 2.94, 3 Ce 2.96
4 Se 0.2511 0.5022 0.2533  3 Sm 2.94, 3 Ce 2.96
5 Se 0.2421 0.0021 0.2622  1 Mg 2.83, 2 Sm 2.94, 2 Ce 2.96
6 Se 0.7601 0.5202 0.2622  1 Mg 2.83, 2 Sm 2.94, 2 Ce 2.96
7 Se 0.7579 0.9979 0.7378  1 Mg 2.83, 2 Sm 2.94, 2 Ce 2.96
8 Se 0.2399 0.9979 0.7378  1 Mg 2.83, 2 Sm 2.94, 2 Ce 2.96
9 Sm 0.5000 0.5000 0.5000  6 Se 2.94
10 Sm 0.0000 0.5000 0.5000  6 Se 2.94
11 Sm 0.5000 0.0000 0.5000  6 Se 2.94
12 Ce 0.5000 0.5000 0.0000  6 Se 2.96
13 Ce 0.0000 0.0000 0.0000  6 Se 2.96
14 Ce 0.0000 0.5000 0.0000  6 Se 2.96
15 Mg 0.0000 0.0000 0.5000  6 Se 2.83

=====

4.
Entry from Alexandria via LeMat-Bulk: crystalline Sr3Ce3MgSe8 at its relaxed geometry (PBE).

Computed properties:
**Total moment**: 0.2526 μB/atom
**D(E_F)**: 1.59 states/eV/atom
**Raw formation energy**: -1.78 eV per atom

abc: 8.5137 8.5138 8.7126
angles: 119.25 90.00 120.00
Closest atoms and distances in Å follow each position.
Fractional coordinates of all 15 atoms:
1 Se 0.7655 0.0103 0.2758  1 Mg 2.85, 2 Ce 2.98, 2 Sr 3.12
2 Se 0.7470 0.4940 0.7410  3 Ce 3.01, 3 Sr 3.08
3 Se 0.2345 0.9897 0.7242  1 Mg 2.85, 2 Ce 2.98, 2 Sr 3.12
4 Se 0.7553 0.9897 0.7242  1 Mg 2.85, 2 Ce 2.98, 2 Sr 3.12
5 Se 0.2530 0.5060 0.2590  3 Ce 3.01, 3 Sr 3.08
6 Se 0.7657 0.5314 0.2759  1 Mg 2.85, 2 Ce 2.98, 2 Sr 3.12
7 Se 0.2343 0.4686 0.7241  1 Mg 2.85, 2 Ce 2.98, 2 Sr 3.12
8 Se 0.2447 0.0103 0.2758  1 Mg 2.85, 2 Ce 2.98, 2 Sr 3.12
9 Sr 0.0000 0.0000 0.0000  6 Se 3.08-3.12
10 Sr 0.0000 0.5000 0.0000  6 Se 3.08-3.12
11 Sr 0.5000 0.5000 0.0000  6 Se 3.08-3.12
12 Ce 0.5000 0.0000 0.5000  6 Se 2.98-3.01
13 Ce 0.0000 0.5000 0.5000  6 Se 2.98-3.01
14 Ce 0.5000 0.5000 0.5000  6 Se 2.98-3.01
15 Mg 0.0000 0.0000 0.5000  6 Se 2.85

=====

5.
Entry from Alexandria via LeMat-Bulk: crystalline Tb3Ce3MgSe8 at its relaxed geometry (PBE).

Computed properties:
**Total moment**: 0.0783 μB/atom
**D(E_F)**: 1.51 states/eV/atom
**Raw formation energy**: -1.75 eV per atom

abc: 8.2358 8.2237 8.3013
angles: 119.68 90.02 119.96
Closest atoms and distances in Å follow each position.
Fractional coordinates of all 15 atoms:
1 Se 0.2532 0.5064 0.2596  3 Tb 2.89, 3 Ce 2.96
2 Se 0.7587 0.0062 0.2651  1 Mg 2.82, 2 Tb 2.89, 2 Ce 2.96
3 Se 0.2413 0.4824 0.7350  1 Mg 2.82, 2 Tb 2.89, 2 Ce 2.96
4 Se 0.7587 0.5176 0.2650  1 Mg 2.82, 2 Tb 2.89, 2 Ce 2.96
5 Se 0.7468 0.4936 0.7404  3 Tb 2.89, 3 Ce 2.96
6 Se 0.2476 0.0063 0.2651  1 Mg 2.82, 2 Tb 2.89, 2 Ce 2.96
7 Se 0.2413 0.9938 0.7349  1 Mg 2.82, 2 Tb 2.89, 2 Ce 2.96
8 Se 0.7524 0.9937 0.7349  1 Mg 2.82, 2 Tb 2.89, 2 Ce 2.96
9 Ce 0.0000 0.0000 0.0000  6 Se 2.96
10 Ce 0.0000 0.5000 0.0000  6 Se 2.96
11 Ce 0.5000 0.5000 0.0000  6 Se 2.96
12 Tb 0.5000 0.5000 0.5000  6 Se 2.89
13 Tb 0.5000 0.0000 0.5000  6 Se 2.89
14 Tb 0.0000 0.5000 0.5000  6 Se 2.89
15 Mg 0.0000 0.0000 0.5000  6 Se 2.82

=====

6.
Entry from Alexandria via LeMat-Bulk: crystalline CeMg2Tl3Se6 at its relaxed geometry (PBE).

Computed properties:
**Total moment**: 0.0000 μB/atom
**D(E_F)**: 0.57 states/eV/atom
**Raw formation energy**: -0.94 eV per atom

abc: 7.1328 7.1328 7.8067
angles: 98.81 98.81 119.99
Closest atoms and distances in Å follow each position.
Fractional coordinates of all 12 atoms:
1 Tl 0.8351 0.1649 0.5000  6 Se 3.20-3.26
2 Tl 0.1649 0.8351 0.5000  6 Se 3.20-3.26
3 Tl 0.5000 0.5000 0.5000  6 Se 3.20-3.25
4 Ce 0.0000 0.0000 0.0000  6 Se 2.88
5 Se 0.2747 0.2747 0.7964  2 Mg 2.79, 1 Ce 2.88
6 Se 0.4104 0.0685 0.2052  2 Mg 2.80, 1 Ce 2.88
7 Se 0.9315 0.5896 0.7948  2 Mg 2.80, 1 Ce 2.88
8 Se 0.0685 0.4104 0.2052  2 Mg 2.80, 1 Ce 2.88
9 Se 0.7253 0.7253 0.2036  2 Mg 2.79, 1 Ce 2.88
10 Se 0.5896 0.9315 0.7948  2 Mg 2.80, 1 Ce 2.88
11 Mg 0.3330 0.6670 0.0000  6 Se 2.79-2.80
12 Mg 0.6670 0.3330 0.0000  6 Se 2.79-2.80

=====

7.
Entry from Alexandria via LeMat-Bulk: crystalline CeMgTl2Se4 at its relaxed geometry (PBE).

Computed properties:
**Total moment**: 0.0169 μB/atom
**D(E_F)**: 0.10 states/eV/atom
**Raw formation energy**: -1.07 eV per atom

abc: 4.2046 8.0933 7.0579
angles: 72.42 90.00 90.00
Closest atoms and distances in Å follow each position.
Fractional coordinates of all 8 atoms:
1 Se 0.5000 0.7057 0.2618  1 Mg 2.84, 2 Ce 2.89
2 Se 0.0000 0.3039 0.2273  2 Mg 2.82, 1 Ce 2.84
3 Se 0.0000 0.6961 0.7727  2 Mg 2.82, 1 Ce 2.84
4 Se 0.5000 0.2943 0.7382  1 Mg 2.84, 2 Ce 2.89
5 Mg 0.5000 0.5000 0.0000  6 Se 2.82-2.84
6 Tl 0.5000 0.0000 0.5000  6 Se 3.30-3.36
7 Tl 0.0000 0.0000 0.0000  6 Se 3.29-3.32
8 Ce 0.0000 0.5000 0.5000  6 Se 2.84-2.89

=====

8.
Entry from Alexandria via LeMat-Bulk: crystalline Ce3MgTl4Se8 at its relaxed geometry (PBE).

Computed properties:
**Total moment**: 0.1258 μB/atom
**D(E_F)**: 0.85 states/eV/atom
**Raw formation energy**: -1.21 eV per atom

abc: 8.5100 9.1515 8.5109
angles: 117.71 120.00 90.00
Closest atoms and distances in Å follow each position.
Fractional coordinates of all 16 atoms:
1 Se 0.2631 0.2895 0.5263  3 Ce 2.95
2 Se 0.2305 0.7026 0.4610  1 Mg 2.87, 2 Ce 2.94
3 Se 0.2582 0.2974 0.0278  1 Mg 2.87, 2 Ce 2.94
4 Se 0.7696 0.2974 0.0278  1 Mg 2.87, 2 Ce 2.94
5 Se 0.7369 0.7105 0.4737  3 Ce 2.95
6 Se 0.7418 0.7026 0.9722  1 Mg 2.87, 2 Ce 2.94
7 Se 0.7695 0.2974 0.5390  1 Mg 2.87, 2 Ce 2.94
8 Se 0.2304 0.7026 0.9722  1 Mg 2.87, 2 Ce 2.94
9 Tl 0.5000 0.0000 0.0000  6 Se 3.40
10 Tl 0.5000 0.0000 0.5000  6 Se 3.32-3.34
11 Tl 0.0000 0.0000 0.0000  6 Se 3.32-3.34
12 Tl 0.0000 0.0000 0.5000  6 Se 3.32-3.34
13 Ce 0.0000 0.5000 0.5000  6 Se 2.94-2.95
14 Ce 0.5000 0.5000 0.5000  6 Se 2.94-2.95
15 Ce 0.5000 0.5000 0.0000  6 Se 2.94-2.95
16 Mg 0.0000 0.5000 0.0000  6 Se 2.87

=====

9.
Entry from Alexandria via LeMat-Bulk: crystalline CeMg6Si at its relaxed geometry (PBE).

Computed properties:
**Offset from the most stable computed form**: 0.0000 eV per atom
**Total moment**: 0.1028 μB/atom
**D(E_F)**: 1.16 states/eV/atom
**Raw formation energy**: 0.00 eV per atom

abc: 7.1679 7.1679 4.8800
angles: 90.00 90.00 131.74
Closest atoms and distances in Å follow each position.
Fractional coordinates of all 8 atoms:
1 Si 0.3660 0.6340 0.5000  8 Mg 2.95-3.16, 2 Ce 3.04
2 Mg 0.6430 0.3570 0.0000  8 Mg 3.05-3.20, 2 Ce 3.22
3 Mg 0.3072 0.1857 0.5000  6 Mg 2.89-3.05, 1 Si 2.95
4 Mg 0.1754 0.3229 0.0000  6 Mg 2.92-3.20, 2 Si 2.96, 2 Ce 3.26
5 Mg 0.6771 0.8246 0.0000  6 Mg 2.92-3.20, 2 Si 2.96, 2 Ce 3.26
6 Mg 0.2128 0.7872 0.0000  4 Mg 3.07-3.15, 2 Si 3.16
7 Mg 0.8143 0.6928 0.5000  6 Mg 2.89-3.05, 1 Si 2.95
8 Ce 0.8042 0.1958 0.5000  2 Si 3.04, 6 Mg 3.22-3.26

=====

10.
Entry from Alexandria via LeMat-Bulk: crystalline CeMg6Si at its relaxed geometry (PBE).

Computed properties:
**Offset from the most stable computed form**: 0.0197 eV per atom
**Total moment**: 0.1248 μB/atom
**D(E_F)**: 1.26 states/eV/atom
**Raw formation energy**: 0.02 eV per atom

abc: 7.1034 7.1034 4.6771
angles: 90.00 90.00 127.99
Closest atoms and distances in Å follow each position.
Fractional coordinates of all 8 atoms:
1 Mg 0.3083 0.1809 0.5000  6 Mg 2.90-3.18, 1 Si 3.00
2 Mg 0.7984 0.2016 0.5000  8 Mg 3.04-3.39, 2 Si 3.23
3 Mg 0.6461 0.3539 0.0000  8 Mg 3.02-3.21, 2 Ce 3.21
4 Mg 0.8191 0.6917 0.5000  6 Mg 2.90-3.18, 1 Si 3.00
5 Mg 0.6875 0.8295 0.0000  7 Mg 2.90-3.24, 2 Si 2.96
6 Mg 0.1705 0.3125 0.0000  7 Mg 2.90-3.24, 2 Si 2.96
7 Ce 0.2060 0.7940 0.0000  2 Si 3.09, 8 Mg 3.21-3.33
8 Si 0.3641 0.6359 0.5000  8 Mg 2.96-3.23, 2 Ce 3.09

=====

11.
Entry from Alexandria via LeMat-Bulk: crystalline Ce2MgSi at its relaxed geometry (PBE).

Computed properties:
**Total moment**: 0.3447 μB/atom
**D(E_F)**: 1.93 states/eV/atom
**Raw formation energy**: -0.31 eV per atom

abc: 3.8603 3.8603 6.7127
angles: 90.00 90.00 90.00
Closest atoms and distances in Å follow each position.
Fractional coordinates of all 4 atoms:
1 Mg 0.5000 0.5000 0.5000  2 Si 3.36, 8 Ce 3.38
2 Ce 0.0000 0.0000 0.2023  1 Ce 2.72
3 Ce 0.0000 0.0000 0.7977  1 Ce 2.72
4 Si 0.5000 0.5000 0.0000  8 Ce 3.05, 2 Mg 3.36

=====

Copy entry 11 word for word.
Entry from Alexandria via LeMat-Bulk: crystalline Ce2MgSi at its relaxed geometry (PBE).

Computed properties:
**Total moment**: 0.3447 μB/atom
**D(E_F)**: 1.93 states/eV/atom
**Raw formation energy**: -0.31 eV per atom

abc: 3.8603 3.8603 6.7127
angles: 90.00 90.00 90.00
Closest atoms and distances in Å follow each position.
Fractional coordinates of all 4 atoms:
1 Mg 0.5000 0.5000 0.5000  2 Si 3.36, 8 Ce 3.38
2 Ce 0.0000 0.0000 0.2023  1 Ce 2.72
3 Ce 0.0000 0.0000 0.7977  1 Ce 2.72
4 Si 0.5000 0.5000 0.0000  8 Ce 3.05, 2 Mg 3.36